This record from the Alexandria database describes a geometry-optimized Rb3In5Hg2 structure. The functional is PBE.

a b c (Å): 7.291 10.581 10.581
angles (deg): 76.94 69.85 69.85
Fractional coordinates of all 20 atoms:
Hg 0.845 0.308 0.002
In 0.626 0.247 0.500
In 0.874 0.500 0.753
Hg 0.655 0.998 0.692
In 0.750 0.500 0.500
Rb 0.620 0.616 0.143
In 0.997 0.253 0.253
In 0.497 0.253 0.253
In 0.003 0.747 0.747
In 0.126 0.500 0.247
Rb 0.250 0.000 0.000
Hg 0.155 0.692 0.998
Rb 0.880 0.857 0.384
In 0.374 0.753 0.500
In 0.250 0.500 0.500
Rb 0.750 0.000 0.000
In 0.503 0.747 0.747
Rb 0.120 0.143 0.616
Hg 0.345 0.002 0.308
Rb 0.380 0.384 0.857

## Properties
- M_tot: 0.000 μB/atom
- Theoretical density: 5.73 Mg/m³
- Uncorrected energy: -1.84 eV/atom